VASP calculation (PBE+U) on a geometry-optimized NdTi3FeCu3O12 structure.

Geometry as CIF:
```
data_NdTi3FeCu3O12
_chemical_formula_sum 'Nd3 Ti9 Fe3 Cu9 O36'
_cell_length_a 10.6179
_cell_length_b 10.6179
_cell_length_c 6.4932
_cell_angle_alpha 90.00
_cell_angle_beta 90.00
_cell_angle_gamma 120.00
_symmetry_space_group_name_H-M 'R -3'
_symmetry_Int_Tables_number 148
_symmetry_space_group_name_Hall '-R 3'
loop_
_atom_site_label
_atom_site_type_symbol
_atom_site_fract_x
_atom_site_fract_y
_atom_site_fract_z
Nd1 Nd 0.0000 0.0000 0.0000
Ti1 Ti 0.0000 0.5000 0.5000
Fe1 Fe 0.0000 0.0000 0.5000
Cu1 Cu 0.0000 0.5000 0.0000
O1 O 0.0176 0.8552 0.6867
O2 O 0.0414 0.7828 0.0836
```

Output
* crystal system: trigonal
* electronic total energy: -445.3 eV/cell
* spin magnetization: 8.00 μB/f.u.